La3Sm3Sc after structural relaxation. Source: Alexandria via LeMat-Bulk, functional PBE.

Cell lengths 13.3964, 5.7291, 12.5452 Å; angles 90.00, 90.00, 90.00 degrees
Closest atoms and distances in Å follow each position.
Space group Pnma (No. 62)
Asymmetric unit:
La 0.1194 0.2500 0.1899 [4 per cell]  4 Sm 3.30-3.54, 2 La 3.52, 2 Sc 3.64
La 0.1430 0.7500 0.8097 [4 per cell]  4 La 3.52-3.76, 2 Sc 3.67, 4 Sm 3.75-3.79
La 0.2101 0.7500 0.4241 [4 per cell]  1 Sc 3.30, 1 Sm 3.62
Sm 0.0086 0.2500 0.9377 [4 per cell]  1 Sc 3.04, 2 Sm 3.27
Sm 0.0253 0.2500 0.4335 [4 per cell]  3 Sc 3.29-3.32, 2 La 3.30-3.62, 2 Sm 3.38
Sm 0.2436 0.2500 0.6120 [4 per cell]  1 Sc 3.30, 2 La 3.54, 2 Sm 3.60-3.68
Sc 0.0099 0.2500 0.6951 [4 per cell]  5 Sm 3.04-3.32, 1 La 3.30

Results
Spin magnetization in μB/f.u.: 0.000
Energy relative to the lowest polymorph listed for this composition in kJ per mole of atoms: 5.47
DOS(E_F) in states/eV/cell: 40.7
Formation energy from the elements in eV per formula unit: 0.750